No. 1
The following is a PBE-GGA calculation of a relaxed HfSn3Rh crystal, from Alexandria.

Cell lengths 5.4274, 5.4274, 5.4274 Å; angles 90.00, 90.00, 90.00 degrees
Closest atoms and distances in Å follow each position.
Space group Pm-3m (No. 221)
Unique sites:
Hf (0.0000, 0.0000, 0.0000) x1  6 Sn 2.71
Sn (0.0000, 0.0000, 0.5000) x3  2 Hf 2.71
Rh (0.5000, 0.5000, 0.5000) x1  12 Sn 3.84

- E above lowest polymorph (eV per atom) = 0.5516

No. 2
The following is a PBE-GGA calculation of a relaxed HfSnRh crystal, from Alexandria.

Cell lengths 4.5952, 4.5952, 3.0808 Å; angles 90.00, 90.00, 120.00 degrees
Closest atoms and distances in Å follow each position.
Space group P-6m2 (No. 187)
Unique sites:
Hf (0.0000, 0.0000, 0.0000) x1  6 Sn 3.07, 6 Rh 3.07, 2 Hf 3.08
Sn (0.3333, 0.6667, 0.5000) x1  3 Rh 2.65
Rh (0.6667, 0.3333, 0.5000) x1  3 Sn 2.65

No. 3
The following is a PBE-GGA calculation of a relaxed HfSn3Rh crystal, from Alexandria.

Cell lengths 5.0750, 5.0750, 5.0750 Å; angles 90.00, 90.00, 90.00 degrees
Closest atoms and distances in Å follow each position.
Space group Pm-3m (No. 221)
Unique sites:
Hf (0.0000, 0.0000, 0.0000) x1  12 Sn 3.59
Sn (0.0000, 0.5000, 0.5000) x3  2 Rh 2.54
Rh (0.5000, 0.5000, 0.5000) x1  6 Sn 2.54

- E above lowest polymorph (eV per atom) = 0.0000

No. 4
The following is a PBE-GGA calculation of a relaxed Hf3SnRh crystal, from Alexandria.

Cell lengths 4.9708, 4.9708, 4.9708 Å; angles 90.00, 90.00, 90.00 degrees
Closest atoms and distances in Å follow each position.
Space group Pm-3m (No. 221)
Unique sites:
Hf (0.0000, 0.0000, 0.5000) x3  2 Rh 2.49
Sn (0.5000, 0.5000, 0.5000) x1  12 Hf 3.51
Rh (0.0000, 0.0000, 0.0000) x1  6 Hf 2.49

- E above lowest polymorph (eV per atom) = 0.0000

no.,ΔE_f (meV per atom)
1,963
2,-569
3,411
4,19